# CsZn2Sb

A geometry-optimized CsZn2Sb structure (GGA-PBE, Alexandria via LeMat-Bulk).

Results
M_tot (μB/atom): 0.00
Symmetry: No. 166
Formation energy without anion corrections (kJ/mol of atoms): -4.2

Structure (POSCAR):
```
CsZn2Sb
1.0
-3.287 -0.098 3.642
-1.350 -4.286 1.972
3.247 -0.974 6.211
Zn Cs Sb
2 1 1
Direct
0.199 0.199 0.403
0.801 0.801 0.597
0.000 0.000 0.000
0.500 0.500 0.500
```

# CsZnSb

A geometry-optimized CsZnSb structure (GGA-PBE, Alexandria via LeMat-Bulk).

Results
M_tot (μB/atom): 0.00
Symmetry: No. 1
Formation energy without anion corrections (kJ/mol of atoms): -25.8

Structure (POSCAR):
```
CsZnSb
1.0
-1.190 4.720 -4.198
-0.360 -6.925 -2.697
-5.413 -5.007 0.801
Sb Cs Zn
2 2 2
Direct
0.972 0.630 0.597
0.650 0.951 0.275
0.662 0.642 0.975
0.271 0.252 0.586
0.971 0.225 0.005
0.244 0.951 0.279
```

# Cs2Zn2Sb

A geometry-optimized Cs2Zn2Sb structure (GGA-PBE, Alexandria via LeMat-Bulk).

Results
M_tot (μB/atom): 0.00
Symmetry: No. 127
Formation energy without anion corrections (kJ/mol of atoms): -3.6

Structure (POSCAR):
```
Cs2Zn2Sb
1.0
7.642 0.000 0.000
0.000 7.642 0.000
0.000 0.000 5.967
Sb Cs Zn
2 4 4
Direct
0.500 0.500 0.000
0.000 0.000 0.000
0.189 0.689 0.500
0.811 0.311 0.500
0.689 0.811 0.500
0.311 0.189 0.500
0.878 0.622 0.000
0.378 0.878 0.000
0.122 0.378 0.000
0.622 0.122 0.000
```

# CsZnSb

A geometry-optimized CsZnSb structure (GGA-PBE, Alexandria via LeMat-Bulk).

Results
M_tot (μB/atom): 0.00
Symmetry: No. 2
Formation energy without anion corrections (kJ/mol of atoms): -23.0

Structure (POSCAR):
```
CsZnSb
1.0
-2.822 -0.880 3.538
-5.575 -2.307 -2.657
2.569 -6.705 2.627
Zn Cs Sb
2 2 2
Direct
0.968 0.687 0.456
0.032 0.313 0.544
0.757 0.290 0.148
0.243 0.710 0.852
0.433 0.886 0.342
0.567 0.114 0.658
```

# CsZn4Sb4

A geometry-optimized CsZn4Sb4 structure (GGA-PBE, Alexandria via LeMat-Bulk).

Results
M_tot (μB/atom): 0.00
Symmetry: No. 86
Formation energy without anion corrections (kJ/mol of atoms): -2.7

Structure (POSCAR):
```
CsZn4Sb4
1.0
-1.660 2.544 -5.733
5.166 -6.013 -4.164
-6.946 -5.630 -0.487
Cs Sb Zn
2 8 8
Direct
0.500 0.500 0.500
0.000 0.000 0.000
0.895 0.839 0.354
0.605 0.339 0.854
0.105 0.354 0.161
0.395 0.146 0.339
0.605 0.661 0.146
0.105 0.646 0.839
0.395 0.854 0.661
0.895 0.161 0.646
0.335 0.152 0.656
0.165 0.348 0.844
0.665 0.656 0.848
0.335 0.848 0.344
0.835 0.156 0.348
0.665 0.344 0.152
0.165 0.652 0.156
0.835 0.844 0.652
```

# Cs4Zn5Sb6

A geometry-optimized Cs4Zn5Sb6 structure (GGA-PBE, Alexandria via LeMat-Bulk).

Results
M_tot (μB/atom): 0.00
Symmetry: No. 36
Formation energy without anion corrections (kJ/mol of atoms): -20.6

Structure (POSCAR):
```
Cs4Zn5Sb6
1.0
-2.689 3.766 -0.468
-1.120 -2.366 10.521
16.590 12.413 4.558
Zn Cs Sb
10 8 12
Direct
0.401 0.802 0.630
0.246 0.493 0.631
0.754 0.507 0.131
0.610 0.220 0.518
0.599 0.198 0.130
0.610 0.219 0.743
0.390 0.781 0.243
0.390 0.780 0.018
0.893 0.786 0.130
0.107 0.214 0.630
0.200 0.400 0.308
0.800 0.600 0.452
0.975 0.951 0.506
0.025 0.049 0.006
0.800 0.600 0.808
0.200 0.400 0.952
0.025 0.050 0.255
0.975 0.950 0.755
0.178 0.356 0.521
0.833 0.666 0.630
0.435 0.871 0.896
0.533 0.066 0.630
0.467 0.934 0.130
0.436 0.872 0.365
0.564 0.128 0.865
0.565 0.129 0.396
0.167 0.334 0.130
0.178 0.355 0.741
0.822 0.645 0.241
0.822 0.644 0.021
```

Number 1: DFT total energy -7.70 eV for the cell shown. Number 2: DFT total energy -14.10 eV for the cell shown. Number 3: DFT total energy -17.13 eV for the cell shown. Number 4: DFT total energy -13.93 eV for the cell shown. Number 5: DFT total energy -45.38 eV for the cell shown. Number 6: DFT total energy -75.46 eV for the cell shown.